First-principles (PBE with a Hubbard U) data for crystalline PaCoHgO6 at its relaxed geometry, as listed in Alexandria.

Geometry as POSCAR:
```
PaCoHgO6
1.0
-0.057 4.141 2.229
-4.592 -1.321 2.338
4.621 -1.200 2.346
Pa Co Hg O
1 1 1 6
direct
0.000 0.333 0.667
0.500 0.000 0.000
0.500 0.667 0.333
0.734 0.697 0.720
0.734 0.280 0.977
0.734 0.023 0.303
0.266 0.280 0.303
0.266 0.697 0.977
0.266 0.023 0.720
```

## Properties
- SG: No. 149
- DFT total energy: -57.62 eV per cell